Cs3Er2ZrSe6 | PBE | relaxed

The space group is C2/m (No. 12) and the conventional cell measures 7.1808, 12.4367 and 8.7147 Å, with angles of 90.00, 105.95 and 90.00 degrees. The distinct sites, in fractional coordinates, are Cs at (0.0000, 0.0000, 0.0000), Cs at (0.0000, 0.3313, 0.0000), Er at (0.0000, 0.1665, 0.5000), Zr at (0.0000, 0.5000, 0.5000), Se at (0.2231, 0.3383, 0.6839) and Se at (0.2383, 0.0000, 0.6848).

As for the density: 5.76 Mg/m³. Its density of states at the Fermi level is 8.9 states/eV/cell. As for the total DFT energy (no corrections): -4.980 eV/atom. The calculation puts the uncorrected formation energy at -1.551 eV per atom. The calculation puts the volume at 748.31 Å³ per cell. Its crystal system is monoclinic.

=====

AcBi3Te6 | PBE | relaxed

The space group is P2_1/m (No. 11) and the conventional cell measures 13.3335, 4.5155 and 13.4014 Å, with angles of 90.00, 110.56 and 90.00 degrees. The distinct sites, in fractional coordinates, are Ac at (0.1984, 0.2500, 0.0433), Bi at (0.0428, 0.7500, 0.3016), Bi at (0.3430, 0.2500, 0.4490), Bi at (0.3949, 0.7500, 0.8489), Te at (0.0263, 0.7500, 0.8897), Te at (0.1207, 0.2500, 0.4692), Te at (0.2335, 0.2500, 0.7979), Te at (0.2468, 0.7500, 0.2549), Te at (0.4043, 0.7500, 0.0775) and Te at (0.4356, 0.7500, 0.6102).

As for the density: 7.12 Mg/m³. As for the total DFT energy (no corrections): -4.022 eV/atom. The calculation puts the uncorrected formation energy at -0.562 eV per atom. The calculation puts the volume at 755.45 Å³ per cell. Its crystal system is monoclinic.

=====

MgAu3Cl | PBE | relaxed

The space group is Pm-3m (No. 221) and the conventional cell measures 5.0315, 5.0315 and 5.0315 Å, with angles of 90.00, 90.00 and 90.00 degrees. The distinct sites, in fractional coordinates, are Mg at (0.0000, 0.0000, 0.0000), Au at (0.0000, 0.5000, 0.5000) and Cl at (0.5000, 0.5000, 0.5000).

The energy above the most stable polymorph in this dataset comes out at 0.185 eV/atom. As for the density: 8.48 Mg/m³. Its density of states at the Fermi level is 4.1 states/eV/cell. As for the total DFT energy (no corrections): -1.954 eV/atom. The calculation puts the uncorrected formation energy at 0.701 eV per atom. The calculation puts the volume at 127.38 Å³ per cell. Its crystal system is cubic.

=====

Zr2Ag3Hg2 | PBE | relaxed

The space group is Cmmm (No. 65) and the conventional cell measures 4.5696, 20.7842 and 2.9790 Å, with angles of 90.00, 90.00 and 90.00 degrees. The distinct sites, in fractional coordinates, are Zr at (0.0000, 0.1452, 0.0000), Ag at (0.0000, 0.0000, 0.0000), Ag at (0.0000, 0.4326, 0.5000) and Hg at (0.0000, 0.2913, 0.5000).

The energy above the most stable polymorph in this dataset comes out at 0.048 eV/atom. As for the density: 10.65 Mg/m³. The calculation puts the formation energy at 0.02 eV per atom. Its density of states at the Fermi level is 8.0 states/eV/cell. As for the total DFT energy (no corrections): -3.732 eV/atom. The calculation puts the volume at 282.94 Å³ per cell. Its crystal system is orthorhombic.

=====

MgIn4Pb | PBE | relaxed

The space group is F-43m (No. 216) and the conventional cell measures 8.7652, 8.7652 and 8.7652 Å, with angles of 90.00, 90.00 and 90.00 degrees. The distinct sites, in fractional coordinates, are Mg at (0.0000, 0.0000, 0.0000), In at (0.1249, 0.1249, 0.3751) and Pb at (0.2500, 0.2500, 0.7500).

The energy above the most stable polymorph in this dataset comes out at 0.105 eV/atom. As for the density: 6.81 Mg/m³. The calculation puts the formation energy at 0.09 eV per atom. Its density of states at the Fermi level is 11.2 states/eV/cell. As for the total DFT energy (no corrections): -2.615 eV/atom. The calculation puts the volume at 673.43 Å³ per cell. Its crystal system is cubic.

=====

HfTa2GeC | PBE | relaxed

The space group is P4/mmm (No. 123) and the conventional cell measures 4.9950, 4.9950 and 3.7297 Å, with angles of 90.00, 90.00 and 90.00 degrees. The distinct sites, in fractional coordinates, are Hf at (0.0000, 0.0000, 0.0000), Ta at (0.0000, 0.5000, 0.5000), Ge at (0.5000, 0.5000, 0.5000) and C at (0.5000, 0.5000, 0.0000).

As for the density: 11.15 Mg/m³. The calculation puts the formation energy at 1.43 eV per atom. Its density of states at the Fermi level is 4.2 states/eV/cell. As for the total DFT energy (no corrections): -8.071 eV/atom. The calculation puts the volume at 93.06 Å³ per cell. Its crystal system is tetragonal.